The following is a DFT calculation (PBE-GGA) of a relaxed Li3Ca2Hg8 crystal.

Calculated values
E = -16.2 eV/cell
D(E_F) = 0.434 states/eV per atom
ΔE_f = -0.313 eV/atom
SG = C2/m

Unit cell a=4.9504 b=8.2737 c=8.2737 alpha=74.48 beta=80.42 gamma=80.42
Sites, in units of the cell vectors:
Hg: 0.7828 0.4397 0.4397
Ca: 0.6554 0.7101 0.7101
Hg: 0.6014 0.1009 0.6360
Li: 0.5000 0.0000 0.0000
Li: 0.0000 0.2442 0.7558
Hg: 0.3986 0.8991 0.3640
Ca: 0.3446 0.2899 0.2899
Hg: 0.2172 0.5603 0.5603
Hg: 0.3986 0.3640 0.8991
Hg: 0.9330 0.1260 0.1260
Li: 0.0000 0.7558 0.2442
Hg: 0.6014 0.6360 0.1009
Hg: 0.0670 0.8740 0.8740